K3CuAu2I6 after structural relaxation, computed with PBE-GGA.

Structure (POSCAR):
```
K3CuAu2I6
1.0
-7.104 -4.362 -2.210
5.590 2.498 -6.074
4.502 -7.805 0.933
Au I K Cu
2 6 3 1
direct
0.333 0.667 0.288
0.667 0.333 0.712
0.151 0.849 0.300
0.697 0.849 0.300
0.151 0.303 0.300
0.849 0.151 0.700
0.303 0.151 0.700
0.849 0.697 0.700
0.000 0.000 0.000
0.333 0.667 0.653
0.667 0.333 0.347
0.000 0.000 0.500
```

Output
* VASP energy: -2.56 eV/atom
* calculated volume: 48.628 Å³ per atom
* energy relative to the elements, uncorrected: -0.618 eV per atom



K2CuAuI6 after structural relaxation, computed with PBE-GGA.

Structure (POSCAR):
```
K2CuAuI6
1.0
8.227 0.000 0.004
0.000 8.229 0.004
4.116 4.117 6.013
I Au K Cu
6 1 2 1
direct
0.207 0.207 0.586
0.793 0.793 0.414
0.733 0.267 0.000
0.267 0.267 0.000
0.733 0.733 0.000
0.267 0.733 0.000
0.500 0.500 0.000
0.750 0.250 0.499
0.250 0.750 0.501
0.000 0.000 0.000
```

Output
* VASP energy: -2.50 eV/atom
* calculated volume: 40.682 Å³ per atom
* energy relative to the elements, uncorrected: -0.613 eV per atom



KCuAuI5 after structural relaxation, computed with PBE-GGA.

Structure (POSCAR):
```
KCuAuI5
1.0
8.865 -1.031 0.062
-3.574 8.178 0.062
-2.104 -2.842 9.052
Cu Au K I
2 2 2 10
direct
0.344 0.656 0.750
0.656 0.344 0.250
0.000 0.000 0.500
0.000 0.000 0.000
0.653 0.347 0.750
0.347 0.653 0.250
0.083 0.917 0.250
0.363 0.271 0.054
0.333 0.857 0.595
0.857 0.333 0.095
0.729 0.637 0.446
0.917 0.083 0.750
0.271 0.363 0.554
0.667 0.143 0.405
0.637 0.729 0.946
0.143 0.667 0.905
```

Output
* VASP energy: -2.42 eV/atom
* calculated volume: 39.145 Å³ per atom
* energy relative to the elements, uncorrected: -0.392 eV per atom



KCu2AuI6 after structural relaxation, computed with PBE-GGA.

Structure (POSCAR):
```
KCu2AuI6
1.0
-5.530 -4.468 -1.101
-0.700 -5.223 9.660
-8.589 6.178 3.024
Cu I K Au
4 12 2 2
direct
0.298 0.767 0.632
0.702 0.233 0.368
0.202 0.368 0.233
0.798 0.632 0.767
0.772 0.062 0.205
0.967 0.322 0.433
0.533 0.567 0.678
0.059 0.587 0.144
0.467 0.433 0.322
0.441 0.856 0.413
0.228 0.938 0.795
0.272 0.205 0.062
0.033 0.678 0.567
0.559 0.144 0.587
0.728 0.795 0.938
0.941 0.413 0.856
0.750 0.125 0.875
0.250 0.875 0.125
0.250 0.291 0.709
0.750 0.709 0.291
```

Output
* VASP energy: -2.51 eV/atom
* calculated volume: 41.637 Å³ per atom
* energy relative to the elements, uncorrected: -0.326 eV per atom



La2CuAuI after structural relaxation, computed with PBE-GGA.

Structure (POSCAR):
```
La2CuAuI
1.0
5.769 0.000 0.000
0.000 5.735 0.000
0.000 0.000 5.769
La I Au Cu
2 1 1 1
direct
0.500 0.000 0.000
0.000 0.000 0.500
0.000 0.500 0.000
0.000 0.000 0.000
0.500 0.500 0.500
```

Output
* VASP energy: -3.53 eV/atom
* calculated volume: 38.178 Å³ per atom
* energy relative to the elements, uncorrected: 0.228 eV per atom



La8CuAu3I4 after structural relaxation, computed with PBE-GGA.

Structure (POSCAR):
```
La8CuAu3I4
1.0
8.815 0.000 0.000
0.000 9.393 0.396
-4.408 -4.412 6.241
La I Au Cu
8 4 3 1
direct
0.766 0.289 0.531
0.738 0.715 0.477
0.234 0.711 0.977
0.262 0.285 0.523
0.234 0.711 0.469
0.743 0.711 0.977
0.766 0.289 0.023
0.257 0.289 0.023
0.500 0.000 0.500
0.000 0.000 0.500
0.500 0.000 0.000
0.000 0.000 0.000
0.500 0.500 0.500
0.500 0.500 0.000
0.000 0.500 0.500
0.000 0.500 0.000
```

Output
* VASP energy: -4.54 eV/atom
* calculated volume: 33.260 Å³ per atom
* energy relative to the elements, uncorrected: -0.821 eV per atom



LiCu2AuI6 after structural relaxation, computed with PBE-GGA.

Structure (POSCAR):
```
LiCu2AuI6
1.0
8.128 0.925 0.960
3.761 10.097 1.496
3.761 1.121 10.146
I Cu Li Au
12 4 2 2
direct
0.876 0.395 0.313
0.624 0.687 0.605
0.363 0.902 0.327
0.124 0.605 0.687
0.134 0.010 0.721
0.637 0.098 0.673
0.863 0.327 0.902
0.866 0.990 0.279
0.366 0.279 0.990
0.137 0.673 0.098
0.376 0.313 0.395
0.634 0.721 0.010
0.730 0.200 0.401
0.270 0.800 0.599
0.770 0.599 0.800
0.230 0.401 0.200
0.750 0.688 0.312
0.250 0.312 0.688
0.250 0.820 0.180
0.750 0.180 0.820
```

Output
* VASP energy: -2.56 eV/atom
* calculated volume: 37.828 Å³ per atom
* energy relative to the elements, uncorrected: -0.294 eV per atom



CuAuIN2 after structural relaxation, computed with PBE-GGA.

Structure (POSCAR):
```
CuAuIN2
1.0
-1.789 3.062 1.584
-2.538 0.039 -2.940
-4.396 -4.500 3.735
Au Cu N I
1 1 2 1
direct
0.500 0.500 0.500
0.000 0.000 0.000
0.500 0.000 0.000
0.000 0.500 0.000
0.000 0.000 0.500
```

Output
* VASP energy: -3.60 eV/atom
* E above lowest polymorph: 0 meV/atom
* calculated volume: 22.077 Å³ per atom
* energy relative to the elements, uncorrected: 1.513 eV per atom



CuAuIN2 after structural relaxation, computed with PBE-GGA.

Structure (POSCAR):
```
CuAuIN2
1.0
-1.841 -1.905 2.915
1.641 -3.383 -1.174
6.474 1.403 5.007
N Au Cu I
2 1 1 1
direct
0.000 0.500 0.000
0.500 0.000 0.000
0.000 0.000 0.000
0.500 0.500 0.500
0.000 0.000 0.500
```

Output
* VASP energy: -3.54 eV/atom
* E above lowest polymorph: 65 meV/atom
* calculated volume: 25.762 Å³ per atom
* energy relative to the elements, uncorrected: 1.578 eV per atom



CuAu2IN after structural relaxation, computed with PBE-GGA.

Structure (POSCAR):
```
CuAu2IN
1.0
-2.305 3.034 3.759
-2.224 -3.882 1.769
4.149 -0.890 3.262
Au Cu N I
2 1 1 1
direct
0.500 0.000 0.000
0.000 0.000 0.500
0.000 0.500 0.000
0.500 0.500 0.500
0.000 0.000 0.000
```

Output
* VASP energy: -2.02 eV/atom
* calculated volume: 27.559 Å³ per atom
* energy relative to the elements, uncorrected: 2.084 eV per atom



CuAuI2N after structural relaxation, computed with PBE-GGA.

Structure (POSCAR):
```
CuAuI2N
1.0
-4.636 -3.607 0.719
0.969 -2.313 -5.360
2.281 -2.623 1.545
Cu Au I N
1 1 2 1
direct
0.500 0.500 0.500
0.000 0.000 0.000
0.000 0.500 0.000
0.500 0.000 0.000
0.000 0.000 0.500
```

Output
* VASP energy: -2.69 eV/atom
* E above lowest polymorph: 192 meV/atom
* calculated volume: 26.643 Å³ per atom
* energy relative to the elements, uncorrected: 1.074 eV per atom



CuAuI2N after structural relaxation, computed with PBE-GGA.

Structure (POSCAR):
```
CuAuI2N
1.0
5.669 0.000 0.000
0.000 5.669 0.000
0.000 0.000 3.638
I Au Cu N
2 1 1 1
direct
0.000 0.500 0.000
0.500 0.000 0.000
0.500 0.500 0.500
0.000 0.000 0.000
0.000 0.000 0.500
```

Output
* VASP energy: -2.88 eV/atom
* E above lowest polymorph: 0 meV/atom
* calculated volume: 23.382 Å³ per atom
* energy relative to the elements, uncorrected: 0.881 eV per atom



CuAuIO2 after structural relaxation, computed with PBE-GGA.

Structure (POSCAR):
```
CuAuIO2
1.0
-1.270 2.794 -2.303
-2.941 -2.220 -1.071
-3.820 2.552 5.201
Au O I Cu
1 2 1 1
direct
0.500 0.500 0.500
0.000 0.500 0.000
0.500 0.000 0.000
0.000 0.000 0.500
0.000 0.000 0.000
```

Output
* VASP energy: -3.48 eV/atom
* E above lowest polymorph: 0 meV/atom
* calculated volume: 20.433 Å³ per atom
* energy relative to the elements, uncorrected: 0.289 eV per atom



CuAuI2O after structural relaxation, computed with PBE-GGA.

Structure (POSCAR):
```
CuAuI2O
1.0
5.737 0.000 0.000
0.000 5.737 0.000
0.000 0.000 3.964
Au Cu O I
1 1 1 2
direct
0.000 0.000 0.000
0.500 0.500 0.500
0.000 0.000 0.500
0.000 0.500 0.000
0.500 0.000 0.000
```

Output
* VASP energy: -2.60 eV/atom
* E above lowest polymorph: 240 meV/atom
* calculated volume: 26.093 Å³ per atom
* energy relative to the elements, uncorrected: 0.488 eV per atom



CuAuIO2 after structural relaxation, computed with PBE-GGA.

Structure (POSCAR):
```
CuAuIO2
1.0
-0.459 -3.694 1.163
2.005 0.776 3.254
-6.561 1.942 3.579
Au O Cu I
1 2 1 1
direct
0.000 0.000 0.000
0.000 0.500 0.000
0.500 0.000 0.000
0.500 0.500 0.500
0.000 0.000 0.500
```

Output
* VASP energy: -3.35 eV/atom
* E above lowest polymorph: 126 meV/atom
* calculated volume: 23.486 Å³ per atom
* energy relative to the elements, uncorrected: 0.415 eV per atom



CuAuI2O after structural relaxation, computed with PBE-GGA.

Structure (POSCAR):
```
CuAuI2O
1.0
-4.654 -3.506 -0.473
2.181 -3.459 4.178
-1.662 1.880 2.424
I O Cu Au
2 1 1 1
direct
0.500 0.000 0.000
0.000 0.500 0.000
0.000 0.000 0.500
0.000 0.000 0.000
0.500 0.500 0.500
```

Output
* VASP energy: -2.84 eV/atom
* E above lowest polymorph: 0 meV/atom
* calculated volume: 23.851 Å³ per atom
* energy relative to the elements, uncorrected: 0.248 eV per atom



CuAu2IO8 after structural relaxation, computed with PBE-GGA.

Structure (POSCAR):
```
CuAu2IO8
1.0
-1.752 -5.163 2.059
5.743 -0.015 0.989
-2.699 4.468 2.590
O I Au Cu
8 1 2 1
direct
0.337 0.029 0.308
0.971 0.279 0.308
0.971 0.663 0.692
0.271 0.460 0.189
0.721 0.029 0.692
0.917 0.729 0.189
0.271 0.083 0.811
0.540 0.729 0.811
0.000 0.000 0.000
0.750 0.250 0.500
0.500 0.500 0.000
0.250 0.750 0.500
```

Output
* VASP energy: -4.04 eV/atom
* calculated volume: 12.596 Å³ per atom
* energy relative to the elements, uncorrected: 0.286 eV per atom



Cu2PdAuI after structural relaxation, computed with PBE-GGA.

Structure (POSCAR):
```
Cu2PdAuI
1.0
-1.244 4.493 -0.996
-4.646 -1.598 -1.408
-1.550 0.563 4.473
Cu Au Pd I
2 1 1 1
direct
0.500 0.000 0.000
0.000 0.000 0.500
0.000 0.500 0.000
0.000 0.000 0.000
0.500 0.500 0.500
```

Output
* VASP energy: -2.94 eV/atom
* E above lowest polymorph: 0 meV/atom
* calculated volume: 23.225 Å³ per atom
* energy relative to the elements, uncorrected: 0.707 eV per atom



Pr6Cu2AuI3 after structural relaxation, computed with PBE-GGA.

Structure (POSCAR):
```
Pr6Cu2AuI3
1.0
7.457 0.007 0.002
-3.721 6.462 0.002
-1.244 -2.154 7.866
Pr I Au Cu
6 3 1 2
direct
0.931 0.588 0.794
0.277 0.277 0.798
0.069 0.412 0.206
0.412 0.069 0.206
0.588 0.931 0.794
0.723 0.723 0.202
0.837 0.163 0.500
0.163 0.837 0.500
0.500 0.500 0.500
0.000 0.000 0.000
0.669 0.331 0.000
0.331 0.669 0.000
```

Output
* VASP energy: -4.34 eV/atom
* calculated volume: 31.612 Å³ per atom
* energy relative to the elements, uncorrected: -0.609 eV per atom



Rb2CuAuI6 after structural relaxation, computed with PBE-GGA.

Structure (POSCAR):
```
Rb2CuAuI6
1.0
8.286 0.000 0.000
0.000 8.286 0.000
4.143 4.143 6.065
I Rb Cu Au
6 2 1 1
direct
0.769 0.231 0.000
0.704 0.704 0.591
0.231 0.231 0.000
0.769 0.769 0.000
0.296 0.296 0.409
0.231 0.769 0.000
0.250 0.750 0.500
0.750 0.250 0.500
0.500 0.500 0.000
0.000 0.000 0.000
```

Output
* VASP energy: -2.51 eV/atom
* calculated volume: 41.640 Å³ per atom
* energy relative to the elements, uncorrected: -0.652 eV per atom